Ta2SnH2: relaxed, PBE.

```
Ta2SnH2
1.0
3.628 0.000 0.000
0.000 3.628 0.000
1.814 1.814 4.744
H Sn Ta
2 1 2
Cartesian
3.628 1.814 2.372 H
1.814 3.628 2.372 H
0.000 0.000 0.000 Sn
1.814 1.814 1.566 Ta
3.628 3.628 3.178 Ta
```

* final energy: -34.10 eV per cell
* space-group type: I4/mmm (139)
* total moment: 0.000 μB/cell